No. 1
Material: Pr2Dy3Zn2
Method: DFT, PBE-GGA
State: optimized geometry

Cell lengths 3.6568, 30.5901, 3.5591 Å; angles 90.00, 90.00, 90.00 degrees
Closest atoms and distances in Å follow each position.
Space group Cmmm (No. 65)
Symmetry-distinct sites (fractional):
Pr  0.0000  0.1985  0.0000 (multiplicity 4)  4 Zn 3.19, 2 Pr 3.56
Dy  0.0000  0.0812  0.0000 (multiplicity 4)  4 Zn 3.05
Dy  0.0000  0.5000  0.5000 (multiplicity 2)  12 Dy 3.56-3.66
Zn  0.0000  0.3642  0.5000 (multiplicity 4)  4 Dy 3.05, 4 Pr 3.19

Values from the calculation:
**Calculated density**: 7.5 g cm⁻³
**Energy of formation from the pure elements**: -0.1313 eV/atom
**Polymorph energy (0 for the lowest one)**: 0.0 meV per atom
**Volume**: 28.44 Å³ per atom
**VASP energy**: -0.14087 hartree per atom

=====

No. 2
Material: PrDy6Zn2
Method: DFT, PBE-GGA
State: optimized geometry

Cell lengths 12.4885, 3.6439, 11.7895 Å; angles 90.00, 108.63, 90.00 degrees
Closest atoms and distances in Å follow each position.
Space group C2/m (No. 12)
Symmetry-distinct sites (fractional):
Pr  0.0000  0.0000  0.0000 (multiplicity 2)  4 Zn 3.21
Dy  0.0219  0.0000  0.3339 (multiplicity 4)  2 Zn 3.07
Dy  0.1875  0.5000  0.5874 (multiplicity 4)  2 Zn 3.12, 4 Dy 3.36-3.47
Dy  0.1909  0.5000  0.8737 (multiplicity 4)  2 Zn 3.09, 3 Dy 3.36-3.40
Zn  0.1527  0.5000  0.2148 (multiplicity 4)  6 Dy 3.07-3.12, 2 Pr 3.21

Values from the calculation:
**Calculated density**: 8.1 g cm⁻³
**Energy of formation from the pure elements**: -0.1381 eV/atom
**Volume**: 28.24 Å³ per atom
**VASP energy**: -0.14774 hartree per atom